Cs4SrF5: optimized geometry, PBE.

E_form (uncorrected) ... -2.69 eV/atom
Space group ... I4

Unit cell a=7.484 b=7.484 c=7.484 alpha=106.14 beta=106.14 gamma=116.36
Fractional positions:
Cs (0.107, 0.699, 0.806)
Cs (0.301, 0.107, 0.408)
Cs (0.699, 0.893, 0.592)
Cs (0.893, 0.301, 0.194)
Sr (0.396, 0.396, 0.000)
F (0.096, 0.096, 0.000)
F (0.123, 0.297, 0.654)
F (0.297, 0.643, 0.174)
F (0.469, 0.123, 0.826)
F (0.643, 0.469, 0.346)

=====

Cs2SrF: optimized geometry, PBE.

E_form (uncorrected) ... -0.45 eV/atom
Space group ... Fm-3m

Unit cell a=6.727 b=6.727 c=6.727 alpha=60.00 beta=60.00 gamma=60.00
Fractional positions:
Cs (0.250, 0.250, 0.250)
Cs (0.750, 0.750, 0.750)
Sr (0.000, 0.000, 0.000)
F (0.500, 0.500, 0.500)

=====

CsSr3F: optimized geometry, PBE.

E_form (uncorrected) ... -0.79 eV/atom
Space group ... Pm-3m

Unit cell a=6.115 b=6.115 c=6.115 alpha=90.00 beta=90.00 gamma=90.00
Fractional positions:
Cs (0.000, 0.000, 0.000)
Sr (0.000, 0.500, 0.500)
Sr (0.500, 0.000, 0.500)
Sr (0.500, 0.500, 0.000)
F (0.500, 0.500, 0.500)

=====

CsSrF2: optimized geometry, PBE.

E_form (uncorrected) ... -2.67 eV/atom
Space group ... I-42d

Unit cell a=7.798 b=7.798 c=7.798 alpha=129.54 beta=129.54 gamma=74.15
Fractional positions:
Cs (0.000, 0.000, 0.000)
Cs (0.750, 0.250, 0.500)
Sr (0.250, 0.750, 0.500)
Sr (0.500, 0.500, 0.000)
F (0.256, 0.625, 0.131)
F (0.375, 0.506, 0.631)
F (0.494, 0.125, 0.869)
F (0.875, 0.744, 0.369)

=====

CsSrF2: optimized geometry, PBE.

E_form (uncorrected) ... -2.64 eV/atom
Space group ... R-3m

Unit cell a=8.261 b=8.261 c=8.261 alpha=31.62 beta=31.62 gamma=31.62
Fractional positions:
Cs (0.000, 0.000, 0.000)
Sr (0.500, 0.500, 0.500)
F (0.403, 0.403, 0.403)
F (0.597, 0.597, 0.597)

=====

CsSr2F2: optimized geometry, PBE.

E_form (uncorrected) ... -2.24 eV/atom
Space group ... I4/mmm

Unit cell a=11.267 b=11.267 c=11.267 alpha=158.07 beta=158.07 gamma=31.20
Fractional positions:
Cs (0.000, 0.000, 0.000)
Sr (0.313, 0.313, 0.000)
Sr (0.687, 0.687, 0.000)
F (0.250, 0.750, 0.500)
F (0.750, 0.250, 0.500)

=====

Cs2Sr3TbF12: optimized geometry, PBE.

E_form (uncorrected) ... -3.41 eV/atom
Space group ... R-3m

Unit cell a=8.727 b=8.727 c=8.727 alpha=58.81 beta=58.81 gamma=58.81
Fractional positions:
Cs (0.100, 0.100, 0.100)
Cs (0.900, 0.900, 0.900)
Sr (0.000, 0.500, 0.500)
Sr (0.500, 0.000, 0.500)
Sr (0.500, 0.500, 0.000)
Tb (0.500, 0.500, 0.500)
F (0.158, 0.158, 0.593)
F (0.158, 0.593, 0.158)
F (0.200, 0.560, 0.560)
F (0.407, 0.842, 0.842)
F (0.440, 0.440, 0.800)
F (0.440, 0.800, 0.440)
F (0.560, 0.200, 0.560)
F (0.560, 0.560, 0.200)
F (0.593, 0.158, 0.158)
F (0.800, 0.440, 0.440)
F (0.842, 0.407, 0.842)
F (0.842, 0.842, 0.407)

=====

CsSrTbF6: optimized geometry, PBE.

E_form (uncorrected) ... -3.71 eV/atom
Space group ... Imma

Unit cell a=8.157 b=8.157 c=8.157 alpha=119.58 beta=119.12 gamma=91.13
Fractional positions:
Cs (0.391, 0.141, 0.250)
Cs (0.609, 0.859, 0.750)
Sr (0.000, 0.000, 0.500)
Sr (0.000, 0.500, 0.000)
Tb (0.000, 0.500, 0.500)
Tb (0.500, 0.500, 0.000)
F (0.106, 0.856, 0.250)
F (0.150, 0.446, 0.327)
F (0.150, 0.823, 0.704)
F (0.183, 0.433, 0.750)
F (0.382, 0.177, 0.827)
F (0.382, 0.554, 0.204)
F (0.618, 0.446, 0.796)
F (0.618, 0.823, 0.173)
F (0.817, 0.567, 0.250)
F (0.850, 0.177, 0.296)
F (0.850, 0.554, 0.673)
F (0.894, 0.144, 0.750)